No. 1
# Cs2AlInCl6

A geometry-optimized Cs2AlInCl6 structure (GGA-PBE, the Alexandria database).

The structure in POSCAR format:
```
Cs2AlInCl6
1.0
0.0000 5.4291 5.4291
5.4291 0.0000 5.4291
5.4291 5.4291 0.0000
Cs Al In Cl
2 1 1 6
Cartesian
2.7145 2.7145 2.7145
8.1436 8.1436 8.1436
0.0000 0.0000 0.0000
5.4291 5.4291 5.4291
5.4291 5.4291 2.3600
5.4291 2.3600 5.4291
8.4981 5.4291 5.4291
2.3600 5.4291 5.4291
5.4291 8.4981 5.4291
5.4291 5.4291 8.4981
```

Calculated values
V: 32.004 Å³ per atom
Energy relative to the elements, uncorrected: -1.605 eV per atom
Total moment: 0.0000 μB per atom


No. 2
# CsAl2InCl8

A geometry-optimized CsAl2InCl8 structure (GGA-PBE, the Alexandria database).

The structure in POSCAR format:
```
CsAl2InCl8
1.0
3.4477 1.9905 10.0218
-3.4477 1.9905 10.0218
0.0000 -3.9811 10.0218
Cs Al In Cl
1 2 1 8
Cartesian
0.0000 0.0000 0.0000
0.0000 0.0000 7.6461
0.0000 0.0000 22.4193
0.0000 0.0000 15.0327
-1.4219 -2.2710 13.1024
-2.6777 0.0959 16.9630
0.0000 0.0000 9.8019
-1.2558 2.3669 13.1024
1.2558 -2.3669 16.9630
0.0000 0.0000 20.2635
2.6777 -0.0959 13.1024
1.4219 2.2710 16.9630
```

Calculated values
V: 34.389 Å³ per atom
Energy relative to the elements, uncorrected: -1.583 eV per atom
Total moment: 0.0000 μB per atom


No. 3
# Cs2AlInCl6

A geometry-optimized Cs2AlInCl6 structure (GGA-PBE, the Alexandria database).

The structure in POSCAR format:
```
Cs2AlInCl6
1.0
3.7540 2.1674 14.3060
-3.7540 2.1674 14.3060
0.0000 -4.3348 14.3060
Cs Al In Cl
4 2 2 12
Cartesian
0.0000 0.0000 5.7423
0.0000 0.0000 13.0391
0.0000 0.0000 29.8790
0.0000 0.0000 37.1758
0.0000 0.0000 0.0000
0.0000 0.0000 21.4590
0.0000 0.0000 17.7160
0.0000 0.0000 25.2020
-1.6755 -0.9673 20.0995
0.0000 -2.4142 15.6821
-2.0907 1.2071 15.6821
-2.0907 -1.2071 27.2359
0.0000 -1.9347 22.8185
-1.6755 0.9673 22.8185
1.6755 -0.9673 20.0995
0.0000 1.9346 20.0995
2.0907 1.2071 15.6821
2.0907 -1.2071 27.2359
0.0000 2.4142 27.2359
1.6755 0.9673 22.8185
```

Calculated values
V: 34.920 Å³ per atom
Energy relative to the elements, uncorrected: -1.597 eV per atom
Total moment: 0.0000 μB per atom


No. 4
# Cs2AlIrCl6

A geometry-optimized Cs2AlIrCl6 structure (GGA-PBE, the Alexandria database).

The structure in POSCAR format:
```
Cs2AlIrCl6
1.0
-3.6531 3.6531 5.1444
3.6531 -3.6531 5.1444
3.6531 3.6531 -5.1444
Cs Al Ir Cl
2 1 1 6
Cartesian
3.6531 0.0000 2.5722
0.0000 3.6531 2.5722
0.0000 0.0000 0.0000
0.0000 0.0000 5.1444
0.0000 0.0000 2.7144
1.9378 1.9378 0.0000
1.7154 -1.7154 5.1444
-1.7154 1.7154 5.1444
1.7154 1.7154 5.1444
0.0000 0.0000 7.5744
```

Calculated values
V: 27.462 Å³ per atom
Energy relative to the elements, uncorrected: -1.120 eV per atom
Total moment: 0.0000 μB per atom


No. 5
# CsK2AlCl6

A geometry-optimized CsK2AlCl6 structure (GGA-PBE, the Alexandria database).

The structure in POSCAR format:
```
CsK2AlCl6
1.0
0.0000 5.5545 5.5545
5.5545 0.0000 5.5545
5.5545 5.5545 0.0000
Cs K Al Cl
1 2 1 6
Cartesian
0.0000 0.0000 0.0000
2.7773 2.7773 2.7773
8.3318 8.3318 8.3318
5.5545 5.5545 5.5545
5.5545 5.5545 3.2127
5.5545 3.2127 5.5545
7.8963 5.5545 5.5545
3.2127 5.5545 5.5545
5.5545 7.8963 5.5545
5.5545 5.5545 7.8963
```

Calculated values
V: 34.274 Å³ per atom
Energy relative to the elements, uncorrected: -1.716 eV per atom
Total moment: 0.0000 μB per atom


No. 6
# CsKAl2Cl8

A geometry-optimized CsKAl2Cl8 structure (GGA-PBE, the Alexandria database).

The structure in POSCAR format:
```
CsKAl2Cl8
1.0
3.4383 1.9851 9.9783
-3.4383 1.9851 9.9783
0.0000 -3.9702 9.9783
Cs K Al Cl
1 1 2 8
Cartesian
0.0000 0.0000 0.0000
0.0000 0.0000 14.9674
0.0000 0.0000 7.5840
0.0000 0.0000 22.3509
-1.4087 -2.2466 13.0649
-2.6499 0.0967 16.8700
0.0000 0.0000 9.7447
-1.2412 2.3433 13.0649
1.2412 -2.3433 16.8700
0.0000 0.0000 20.1902
2.6499 -0.0967 13.0649
1.4087 2.2466 16.8700
```

Calculated values
V: 34.052 Å³ per atom
Energy relative to the elements, uncorrected: -1.788 eV per atom
Total moment: 0.0000 μB per atom


No. 7
# Cs2KAlCl6

A geometry-optimized Cs2KAlCl6 structure (GGA-PBE, the Alexandria database).

The structure in POSCAR format:
```
Cs2KAlCl6
1.0
7.4922 0.0000 0.0000
-3.7461 6.4885 0.0000
0.0000 0.0000 7.6340
Cs K Al Cl
2 1 1 6
Cartesian
0.0000 4.3257 2.6305
3.7461 2.1628 5.0036
0.0000 0.0000 0.0000
0.0000 0.0000 3.8170
0.0000 1.9288 5.1933
-2.0757 5.5241 5.1933
1.6704 0.9644 2.4407
2.0757 5.5241 5.1933
5.8218 0.9644 2.4407
3.7461 4.5597 2.4407
```

Calculated values
V: 37.112 Å³ per atom
Energy relative to the elements, uncorrected: -1.830 eV per atom
Total moment: 0.0000 μB per atom


No. 8
# Cs2KAlCl6

A geometry-optimized Cs2KAlCl6 structure (GGA-PBE, the Alexandria database).

The structure in POSCAR format:
```
Cs2KAlCl6
1.0
0.0000 5.3992 5.3992
5.3992 0.0000 5.3992
5.3992 5.3992 0.0000
Cs K Al Cl
2 1 1 6
Cartesian
2.6996 2.6996 2.6996
8.0989 8.0989 8.0989
0.0000 0.0000 0.0000
5.3992 5.3992 5.3992
5.3992 5.3992 3.0437
5.3992 3.0437 5.3992
7.7548 5.3992 5.3992
3.0437 5.3992 5.3992
5.3992 7.7548 5.3992
5.3992 5.3992 7.7548
```

Calculated values
V: 31.480 Å³ per atom
Energy relative to the elements, uncorrected: -1.841 eV per atom
Total moment: 0.0000 μB per atom


No. 9
# Cs2LaAlCl6

A geometry-optimized Cs2LaAlCl6 structure (GGA-PBE, the Alexandria database).

The structure in POSCAR format:
```
Cs2LaAlCl6
1.0
0.0000 5.7196 5.7196
5.7196 0.0000 5.7196
5.7196 5.7196 0.0000
Cs La Al Cl
2 1 1 6
Cartesian
2.8598 2.8598 2.8598
8.5794 8.5794 8.5794
0.0000 0.0000 0.0000
5.7196 5.7196 5.7196
5.7196 5.7196 2.7810
5.7196 2.7810 5.7196
8.6583 5.7196 5.7196
2.7810 5.7196 5.7196
5.7196 8.6583 5.7196
5.7196 5.7196 8.6583
```

Calculated values
V: 37.422 Å³ per atom
Energy relative to the elements, uncorrected: -1.834 eV per atom
Total moment: 0.0000 μB per atom


No. 10
# CsMnAl2Cl8

A geometry-optimized CsMnAl2Cl8 structure (GGA-PBE, the Alexandria database).

The structure in POSCAR format:
```
CsMnAl2Cl8
1.0
3.2455 1.8738 9.7466
-3.2455 1.8738 9.7466
0.0000 -3.7476 9.7466
Cs Mn Al Cl
1 1 2 8
Cartesian
0.0000 0.0000 0.0000
0.0000 0.0000 14.6200
0.0000 0.0000 7.0573
0.0000 0.0000 22.1827
-1.1587 -1.7850 13.0847
-2.1253 0.1110 16.1552
0.0000 0.0000 9.2336
-0.9665 1.8960 13.0847
0.9665 -1.8960 16.1552
0.0000 0.0000 20.0063
2.1253 -0.1110 13.0847
1.1587 1.7850 16.1552
```

Calculated values
V: 29.637 Å³ per atom
Energy relative to the elements, uncorrected: -1.375 eV per atom
Total moment: 0.3486 μB per atom


No. 11
# Cs2NaAlCl6

A geometry-optimized Cs2NaAlCl6 structure (GGA-PBE, the Alexandria database).

The structure in POSCAR format:
```
Cs2NaAlCl6
1.0
7.4255 0.0000 0.0000
-3.7128 6.4307 0.0000
0.0000 0.0000 6.7288
Cs Na Al Cl
2 1 1 6
Cartesian
0.0000 4.2871 1.3613
3.7128 2.1436 5.3675
0.0000 0.0000 3.3644
0.0000 0.0000 0.0000
0.0000 1.9268 5.3546
-2.0441 5.4673 5.3546
1.6686 0.9634 1.3742
2.0441 5.4673 5.3546
5.7569 0.9634 1.3742
3.7128 4.5039 1.3742
```

Calculated values
V: 32.131 Å³ per atom
Energy relative to the elements, uncorrected: -1.813 eV per atom
Total moment: 0.0000 μB per atom


| no. | DOS(E_F) (states/eV/f.u.) |
| --- | --- |
| 1 | 0.000 |
| 2 | 0.000 |
| 3 | 0.000 |
| 4 | 0.000 |
| 5 | 0.000 |
| 6 | 0.000 |
| 7 | 0.000 |
| 8 | 0.000 |
| 9 | 0.000 |
| 10 | 5.771 |
| 11 | 0.000 |